5
Lattice="3.433 0.000 0.000 0.000 3.433 0.000 0.000 0.000 3.433" Properties=species:S:1:pos:R:3 comment="PN4 PBE optimized geometry" total_energy_ev_per_cell=-27.4 n_ef_per_ev_atom=0.54 formation_energy_uncorrected_ev_per_atom=2.261 sg=Pm-3m pbc="T T T"
P 0.000 0.000 0.000
N 0.000 0.000 1.716
N 0.000 1.716 0.000
N 1.716 0.000 0.000
N 1.716 1.716 1.716